# Ac2IrPt

Crystalline Ac2IrPt at its relaxed geometry (PBE, Alexandria).

Values from the calculation:
For the density of states at the Fermi level, the calculation gives 0.82 states/eV/cell. The spin magnetization is 0.00 μB per atom. Its formation energy from the elements is -749 meV per atom. Its crystal system is tetragonal.

Lattice parameters (Å, degrees): 3.7573 5.2858 5.2858 90.00 90.00 90.00
Last column: nearest neighbours and their distance in Å.
Atoms (fractional coordinates):
1 Ac 0.0000 0.0000 0.5000  4 Ir 3.24, 4 Pt 3.24
2 Ac 0.0000 0.5000 0.0000  4 Ir 3.24, 4 Pt 3.24
3 Ir 0.5000 0.5000 0.5000  8 Ac 3.24
4 Pt 0.5000 0.0000 0.0000  8 Ac 3.24


# K2RbHgF5

Crystalline K2RbHgF5 at its relaxed geometry (PBE, Alexandria).

Values from the calculation:
For the density of states at the Fermi level, the calculation gives 0.00 states/eV/cell. The spin magnetization is 0.01 μB per atom. Its formation energy from raw total energies is -2252 meV per atom. Its crystal system is tetragonal.

Lattice parameters (Å, degrees): 7.3716 7.3716 8.5073 115.67 115.67 90.00
Last column: nearest neighbours and their distance in Å.
Atoms (fractional coordinates):
1 K 0.1747 0.3253 0.0000  4 F 2.59-2.72
2 K 0.6747 0.1747 0.0000  4 F 2.59-2.72
3 K 0.3253 0.8253 0.0000  4 F 2.59-2.72
4 K 0.8253 0.6747 0.0000  4 F 2.59-2.72
5 Rb 0.2500 0.2500 0.5000  10 F 3.15-3.36
6 Rb 0.7500 0.7500 0.5000  10 F 3.15-3.36
7 Hg 0.2500 0.7500 0.5000  4 F 2.19
8 Hg 0.7500 0.2500 0.5000  4 F 2.19
9 F 0.9846 0.4846 0.2806  1 Hg 2.19
10 F 0.7040 0.2040 0.7194  1 Hg 2.19
11 F 0.0154 0.5154 0.7194  1 Hg 2.19
12 F 0.2040 0.0154 0.7194  1 Hg 2.19
13 F 0.5154 0.7040 0.7194  1 Hg 2.19
14 F 0.7960 0.9846 0.2806  1 Hg 2.19
15 F 0.4846 0.2960 0.2806  1 Hg 2.19
16 F 0.2960 0.7960 0.2806  1 Hg 2.19
17 F 0.5000 0.5000 0.0000  4 K 2.72
18 F 0.0000 0.0000 0.0000  4 K 2.72


# Ca3Th2NpN6

Crystalline Ca3Th2NpN6 at its relaxed geometry (PBE, Alexandria).

Values from the calculation:
For the density of states at the Fermi level, the calculation gives 9.01 states/eV/cell. The spin magnetization is 0.24 μB per atom. Its formation energy from raw total energies is -1304 meV per atom. Its crystal system is monoclinic.

Lattice parameters (Å, degrees): 6.2605 6.2605 6.1263 99.77 99.77 120.04
Last column: nearest neighbours and their distance in Å.
Atoms (fractional coordinates):
1 Ca 0.1621 0.8379 0.5000  6 N 2.58-2.76
2 Ca 0.8379 0.1621 0.5000  6 N 2.58-2.76
3 Ca 0.5000 0.5000 0.5000  6 N 2.60-2.73
4 Th 0.3329 0.6671 0.0000  6 N 2.48-2.49
5 Th 0.6671 0.3329 0.0000  6 N 2.48-2.49
6 Np 0.0000 0.0000 0.0000  6 N 2.34-2.35
7 N 0.9266 0.6100 0.7800  1 Np 2.35, 2 Th 2.49, 2 Ca 2.60
8 N 0.7559 0.7559 0.2170  1 Np 2.34, 2 Th 2.48, 2 Ca 2.58
9 N 0.0734 0.3900 0.2200  1 Np 2.35, 2 Th 2.49, 2 Ca 2.60
10 N 0.6100 0.9266 0.7800  1 Np 2.35, 2 Th 2.49, 2 Ca 2.60
11 N 0.2441 0.2441 0.7830  1 Np 2.34, 2 Th 2.48, 2 Ca 2.58
12 N 0.3900 0.0734 0.2200  1 Np 2.35, 2 Th 2.49, 2 Ca 2.60


# BOF

Crystalline BOF at its relaxed geometry (PBE, Alexandria).

Values from the calculation:
For the density of states at the Fermi level, the calculation gives 0.00 states/eV/cell. The spin magnetization is 0.00 μB per atom. Its formation energy from raw total energies is -2521 meV per atom. Its crystal system is monoclinic. The value obtained for the energy above the most stable polymorph in this dataset is 0.0000 eV/atom.

Lattice parameters (Å, degrees): 2.4148 3.9067 4.3800 85.35 106.09 90.00
Last column: nearest neighbours and their distance in Å.
Atoms (fractional coordinates):
1 B 0.0951 0.4049 0.2393  1 F 1.34, 2 O 1.38
2 O 0.6555 0.2792 0.3594  2 B 1.38
3 F 0.9749 0.6559 0.0001  1 B 1.34